# PBE-GGA SrZn2Pb, optimized geometry
# energy relative to the elements	-0.23	eV per atom
# V	212.8	Å³/cell
# electronic total energy	-2.21	eV/atom
# size of the total moment	0.000	μB/cell
data_SrZn2Pb
_chemical_formula_sum 'Sr2 Zn4 Pb2'
_cell_length_a 7.7004
_cell_length_b 4.4453
_cell_length_c 6.7221
_cell_angle_alpha 90.00
_cell_angle_beta 112.37
_cell_angle_gamma 90.00
_symmetry_space_group_name_H-M 'C 1 m 1'
_symmetry_Int_Tables_number 8
_symmetry_space_group_name_Hall 'C -2y'
loop_
_atom_site_label
_atom_site_type_symbol
_atom_site_fract_x
_atom_site_fract_y
_atom_site_fract_z
Sr1 Sr 0.0000 0.0000 0.0000
Zn1 Zn 0.0486 0.5000 0.6449
Zn2 Zn 0.2178 0.0000 0.6523
Pb1 Pb 0.2949 0.5000 0.3842